No. 1
The following is a DFT calculation (SCAN) of Sr10P6BrClO24 at its PBEsol-relaxed geometry.

Properties
* total moment: 0.00 μB per cell
* energy: -596.22 eV for the cell shown
* Fermi-level density of states: 0.000 states/eV/atom
* crystal system: trigonal

Cell and atoms, written as POSCAR:
```
Sr10P6BrClO24
1.0
-5.685 -3.990 1.789
5.863 -7.919 0.970
-1.688 5.891 7.776
P O Sr Cl Br
6 24 10 1 1
direct
0.251 0.964 0.372
0.749 0.372 0.407
0.251 0.407 0.036
0.749 0.593 0.964
0.749 0.036 0.628
0.251 0.628 0.593
0.247 0.877 0.466
0.247 0.534 0.411
0.572 0.641 0.908
0.428 0.732 0.641
0.750 0.856 0.518
0.078 0.910 0.264
0.753 0.466 0.589
0.922 0.090 0.736
0.572 0.092 0.732
0.247 0.589 0.123
0.922 0.646 0.910
0.750 0.662 0.144
0.572 0.268 0.359
0.428 0.908 0.268
0.753 0.411 0.877
0.250 0.338 0.856
0.750 0.482 0.338
0.922 0.264 0.354
0.428 0.359 0.092
0.250 0.518 0.662
0.078 0.736 0.646
0.250 0.144 0.482
0.078 0.354 0.090
0.753 0.123 0.534
0.754 0.748 0.741
0.500 0.333 0.667
0.998 0.667 0.333
0.754 0.259 0.007
0.246 0.252 0.259
0.500 0.667 0.333
0.754 0.993 0.252
0.002 0.333 0.667
0.246 0.007 0.748
0.246 0.741 0.993
0.000 0.000 0.000
0.500 0.000 0.000
```

***

No. 2
The following is a DFT calculation (SCAN) of InHgMo at its PBEsol-relaxed geometry.

Properties
* total moment: 0.00 μB per cell
* energy: -134.61 eV for the cell shown
* Fermi-level density of states: 0.689 states/eV/atom
* crystal system: orthorhombic
* ΔH_f (0 K): 0.610 eV/atom

Cell and atoms, written as POSCAR:
```
InHgMo
1.0
-2.038 -0.801 -1.970
2.692 -1.796 -2.055
-1.165 -2.903 4.587
Mo In Hg
1 1 1
direct
0.332 0.332 0.664
0.674 0.674 0.349
0.993 0.993 0.987
```

***

No. 3
The following is a DFT calculation (SCAN) of BrCl3 at its PBEsol-relaxed geometry.

Properties
* total moment: 0.00 μB per cell
* energy: -42.94 eV for the cell shown
* Fermi-level density of states: 0.312 states/eV/atom
* crystal system: orthorhombic

Cell and atoms, written as POSCAR:
```
BrCl3
1.0
-3.518 1.447 -1.581
-1.611 -4.165 -0.228
-2.542 0.641 6.242
Br Cl
1 3
direct
0.000 0.000 0.112
0.000 0.500 0.221
0.500 0.500 0.705
0.500 0.000 0.628
```